1.
# CuAuSe2S2 | OQMD | PBE | optimized geometry
# Relative energy among the computed polymorphs (meV/atom): 0
data_CuAuSe2S2
_symmetry_space_group_name_H-M 'P 1 21/m 1'
_symmetry_Int_Tables_number 11
_symmetry_space_group_name_Hall '-P 2yb'
_cell_length_a 4.371
_cell_length_b 7.293
_cell_length_c 8.015
_cell_angle_alpha 90.00
_cell_angle_beta 92.76
_cell_angle_gamma 90.00
loop_
_atom_site_label
_atom_site_fract_x
_atom_site_fract_y
_atom_site_fract_z
_atom_site_occupancy
Cu1 0.002 0.250 0.159 1
Au1 0.500 0.000 0.500 1
Se1 0.395 0.502 0.189 1
S1 0.090 0.750 0.128 1
S2 0.179 0.750 0.575 1

2.
# Cu2SbAu2 | OQMD | PBE | optimized geometry
# VASP energy (eV per formula unit): -17.4
data_Cu2SbAu2
_symmetry_space_group_name_H-M 'I 4/m m m'
_symmetry_Int_Tables_number 139
_symmetry_space_group_name_Hall '-I 4 2'
_cell_length_a 3.910
_cell_length_b 3.910
_cell_length_c 11.888
_cell_angle_alpha 90.00
_cell_angle_beta 90.00
_cell_angle_gamma 90.00
loop_
_atom_site_label
_atom_site_fract_x
_atom_site_fract_y
_atom_site_fract_z
_atom_site_occupancy
Cu1 0.000 0.000 0.099 1
Sb1 0.000 0.000 0.500 1
Au1 0.000 0.500 0.250 1

3.
# Sr2CuSb2Au | OQMD | PBE | optimized geometry
# VASP energy (eV per formula unit): -23.3
data_Sr2CuSb2Au
_symmetry_space_group_name_H-M 'P 3 m 1'
_symmetry_Int_Tables_number 156
_symmetry_space_group_name_Hall 'P 3 -2"'
_cell_length_a 4.6647
_cell_length_b 4.6647
_cell_length_c 8.7405
_cell_angle_alpha 90.00
_cell_angle_beta 90.00
_cell_angle_gamma 120.00
loop_
_atom_site_label
_atom_site_fract_x
_atom_site_fract_y
_atom_site_fract_z
_atom_site_occupancy
Sr1 0.0000 0.0000 0.0000 1
Sr2 0.0000 0.0000 0.4966 1
Cu1 0.3333 0.6667 0.2589 1
Sb1 0.3333 0.6667 0.7403 1
Sb2 0.6667 0.3333 0.2440 1
Au1 0.6667 0.3333 0.7604 1

4.
# ZnCuSbAu | OQMD | PBE | optimized geometry
# Relative energy among the computed polymorphs (meV/atom): 0
data_ZnCuSbAu
_symmetry_space_group_name_H-M 'F -4 3 m'
_symmetry_Int_Tables_number 216
_symmetry_space_group_name_Hall 'F -4 2 3'
_cell_length_a 6.599
_cell_length_b 6.599
_cell_length_c 6.599
_cell_angle_alpha 90.00
_cell_angle_beta 90.00
_cell_angle_gamma 90.00
loop_
_atom_site_label
_atom_site_fract_x
_atom_site_fract_y
_atom_site_fract_z
_atom_site_occupancy
Zn1 0.000 0.000 0.000 1
Cu1 0.000 0.000 0.500 1
Sb1 0.250 0.250 0.250 1
Au1 0.250 0.250 0.750 1

5.
# ScCuAu4 | OQMD | PBE | optimized geometry
# Total moment (Bohr magnetons per cell): 0.00
# Energy relative to the elements (eV per formula unit): -2.3
data_ScCuAu4
_symmetry_space_group_name_H-M 'P 4/m m m'
_symmetry_Int_Tables_number 123
_symmetry_space_group_name_Hall '-P 4 2'
_cell_length_a 3.492
_cell_length_b 3.492
_cell_length_c 8.709
_cell_angle_alpha 90.00
_cell_angle_beta 90.00
_cell_angle_gamma 90.00
loop_
_atom_site_label
_atom_site_fract_x
_atom_site_fract_y
_atom_site_fract_z
_atom_site_occupancy
Sc1 0.000 0.000 0.000 1
Cu1 0.500 0.500 0.500 1
Au1 0.000 0.000 0.343 1
Au2 0.500 0.500 0.172 1

6.
# ScCu2Au | OQMD | PBE | optimized geometry
# Total moment (Bohr magnetons per cell): 0.00
# Energy relative to the elements (eV per formula unit): -1.6
data_ScCu2Au
_symmetry_space_group_name_H-M 'P m m n'
_symmetry_Int_Tables_number 59
_cell_length_a 4.606
_cell_length_b 5.681
_cell_length_c 4.771
_cell_angle_alpha 90.00
_cell_angle_beta 90.00
_cell_angle_gamma 90.00
loop_
_symmetry_equiv_pos_as_xyz
'x,y,z'
'-x,-y,-z'
'-x+1/2,-y+1/2,z'
'x+1/2,y+1/2,-z'
'x+1/2,-y,-z'
'-x+1/2,y,z'
'-x,y+1/2,-z'
'x,-y+1/2,z'
loop_
_atom_site_label
_atom_site_fract_x
_atom_site_fract_y
_atom_site_fract_z
_atom_site_occupancy
Sc1 0.250 0.250 0.158 1
Cu1 0.250 0.505 0.658 1
Au1 0.250 0.750 0.178 1

7.
# ScCuAu | OQMD | PBE | optimized geometry
# Total moment (Bohr magnetons per cell): 1.23
# Energy relative to the elements (eV per formula unit): -0.6
# Relative energy among the computed polymorphs (meV/atom): 370
data_ScCuAu
_symmetry_space_group_name_H-M 'P 4/n m m'
_symmetry_Int_Tables_number 129
_cell_length_a 3.391
_cell_length_b 3.391
_cell_length_c 9.223
_cell_angle_alpha 90.00
_cell_angle_beta 90.00
_cell_angle_gamma 90.00
loop_
_symmetry_equiv_pos_as_xyz
'x,y,z'
'-x,-y,-z'
'-y+1/2,x,z'
'y+1/2,-x,-z'
'-x+1/2,-y+1/2,z'
'x+1/2,y+1/2,-z'
'y,-x+1/2,z'
'-y,x+1/2,-z'
'x+1/2,-y,-z'
'-x+1/2,y,z'
'-y,-x,-z'
'y,x,z'
'-x,y+1/2,-z'
'x,-y+1/2,z'
'y+1/2,x+1/2,-z'
'-y+1/2,-x+1/2,z'
loop_
_atom_site_label
_atom_site_fract_x
_atom_site_fract_y
_atom_site_fract_z
_atom_site_occupancy
Sc1 0.250 0.250 0.112 1
Cu1 0.250 0.250 0.732 1
Au1 0.250 0.250 0.411 1

8.
# Sc2CuAu3 | OQMD | PBE | optimized geometry
# Total moment (Bohr magnetons per cell): 0.01
# Energy relative to the elements (eV per formula unit): -4.2
data_Sc2CuAu3
_symmetry_space_group_name_H-M 'P 4 m m'
_symmetry_Int_Tables_number 99
_symmetry_space_group_name_Hall 'P 4 -2'
_cell_length_a 3.507
_cell_length_b 3.507
_cell_length_c 8.728
_cell_angle_alpha 90.00
_cell_angle_beta 90.00
_cell_angle_gamma 90.00
loop_
_atom_site_label
_atom_site_fract_x
_atom_site_fract_y
_atom_site_fract_z
_atom_site_occupancy
Sc1 0.000 0.000 0.000 1
Sc2 0.500 0.500 0.493 1
Cu1 0.500 0.500 0.165 1
Au1 0.000 0.000 0.319 1
Au2 0.000 0.000 0.657 1
Au3 0.500 0.500 0.846 1

9.
# ScCuAu | OQMD | PBE | optimized geometry
# Total moment (Bohr magnetons per cell): 0.00
# Energy relative to the elements (eV per formula unit): -1.7
# Relative energy among the computed polymorphs (meV/atom): 0
data_ScCuAu
_symmetry_space_group_name_H-M 'I 4 m m'
_symmetry_Int_Tables_number 107
_symmetry_space_group_name_Hall 'I 4 -2'
_cell_length_a 3.435
_cell_length_b 3.435
_cell_length_c 8.622
_cell_angle_alpha 90.00
_cell_angle_beta 90.00
_cell_angle_gamma 90.00
loop_
_atom_site_label
_atom_site_fract_x
_atom_site_fract_y
_atom_site_fract_z
_atom_site_occupancy
Sc1 0.000 0.000 0.000 1
Cu1 0.000 0.000 0.334 1
Au1 0.000 0.000 0.669 1

10.
# ScCuAu | OQMD | PBE | optimized geometry
# Total moment (Bohr magnetons per cell): 0.00
# Energy relative to the elements (eV per formula unit): -1.4
# Relative energy among the computed polymorphs (meV/atom): 110
data_ScCuAu
_symmetry_space_group_name_H-M 'P 4/m m m'
_symmetry_Int_Tables_number 123
_symmetry_space_group_name_Hall '-P 4 2'
_cell_length_a 3.337
_cell_length_b 3.337
_cell_length_c 9.295
_cell_angle_alpha 90.00
_cell_angle_beta 90.00
_cell_angle_gamma 90.00
loop_
_atom_site_label
_atom_site_fract_x
_atom_site_fract_y
_atom_site_fract_z
_atom_site_occupancy
Sc1 0.000 0.000 0.173 1
Cu1 0.000 0.000 0.500 1
Cu2 0.500 0.500 0.000 1
Au1 0.500 0.500 0.344 1

11.
# ScCuAu2 | OQMD | PBE | optimized geometry
# Total moment (Bohr magnetons per cell): 0.01
# Energy relative to the elements (eV per formula unit): -1.8
data_ScCuAu2
_symmetry_space_group_name_H-M 'F -4 3 m'
_symmetry_Int_Tables_number 216
_symmetry_space_group_name_Hall 'F -4 2 3'
_cell_length_a 6.511
_cell_length_b 6.511
_cell_length_c 6.511
_cell_angle_alpha 90.00
_cell_angle_beta 90.00
_cell_angle_gamma 90.00
loop_
_atom_site_label
_atom_site_fract_x
_atom_site_fract_y
_atom_site_fract_z
_atom_site_occupancy
Sc1 0.000 0.000 0.000 1
Cu1 0.250 0.250 0.250 1
Au1 0.000 0.000 0.500 1
Au2 0.250 0.250 0.750 1

12.
# Sc2CuSi2Au | OQMD | PBE | optimized geometry
# Total moment (Bohr magnetons per cell): 0.00
# VASP energy (eV per formula unit): -34.0
data_Sc2CuSi2Au
_symmetry_space_group_name_H-M 'P 1 m 1'
_symmetry_Int_Tables_number 6
_symmetry_space_group_name_Hall 'P -2y'
_cell_length_a 7.413
_cell_length_b 4.259
_cell_length_c 14.151
_cell_angle_alpha 90.00
_cell_angle_beta 99.67
_cell_angle_gamma 90.00
loop_
_atom_site_label
_atom_site_fract_x
_atom_site_fract_y
_atom_site_fract_z
_atom_site_occupancy
Sc1 0.000 0.000 0.000 1
Sc2 0.008 0.500 0.492 1
Sc3 0.234 0.000 0.735 1
Sc4 0.246 0.500 0.241 1
Sc5 0.481 0.000 0.483 1
Sc6 0.499 0.500 0.000 1
Sc7 0.743 0.000 0.235 1
Sc8 0.758 0.500 0.738 1
Cu1 0.060 0.500 0.676 1
Cu2 0.061 0.000 0.183 1
Cu3 0.307 0.500 0.425 1
Cu4 0.557 0.500 0.182 1
Si1 0.121 0.500 0.861 1
Si2 0.126 0.000 0.363 1
Si3 0.362 0.500 0.610 1
Si4 0.372 0.000 0.122 1
Si5 0.611 0.500 0.362 1
Si6 0.621 0.000 0.865 1
Si7 0.874 0.500 0.123 1
Si8 0.879 0.000 0.615 1
Au1 0.308 0.000 0.927 1
Au2 0.557 0.000 0.675 1
Au3 0.807 0.000 0.426 1
Au4 0.809 0.500 0.929 1

13.
# ScCuSiAu | OQMD | PBE | optimized geometry
# Total moment (Bohr magnetons per cell): 0.01
# Relative energy among the computed polymorphs (meV/atom): 0
data_ScCuSiAu
_symmetry_space_group_name_H-M 'F -4 3 m'
_symmetry_Int_Tables_number 216
_symmetry_space_group_name_Hall 'F -4 2 3'
_cell_length_a 6.387
_cell_length_b 6.387
_cell_length_c 6.387
_cell_angle_alpha 90.00
_cell_angle_beta 90.00
_cell_angle_gamma 90.00
loop_
_atom_site_label
_atom_site_fract_x
_atom_site_fract_y
_atom_site_fract_z
_atom_site_occupancy
Sc1 0.000 0.000 0.000 1
Cu1 0.000 0.000 0.500 1
Si1 0.250 0.250 0.250 1
Au1 0.250 0.250 0.750 1

14.
# ScCuSiAu | OQMD | PBE | optimized geometry
# Total moment (Bohr magnetons per cell): 0.01
# Relative energy among the computed polymorphs (meV/atom): 8
data_ScCuSiAu
_symmetry_space_group_name_H-M 'F -4 3 m'
_symmetry_Int_Tables_number 216
_symmetry_space_group_name_Hall 'F -4 2 3'
_cell_length_a 6.369
_cell_length_b 6.369
_cell_length_c 6.369
_cell_angle_alpha 90.00
_cell_angle_beta 90.00
_cell_angle_gamma 90.00
loop_
_atom_site_label
_atom_site_fract_x
_atom_site_fract_y
_atom_site_fract_z
_atom_site_occupancy
Sc1 0.000 0.000 0.000 1
Cu1 0.250 0.250 0.750 1
Si1 0.000 0.000 0.500 1
Au1 0.250 0.250 0.250 1

15.
# ScCuSnAu | OQMD | PBE | optimized geometry
# Total moment (Bohr magnetons per cell): 0.00
# Relative energy among the computed polymorphs (meV/atom): 56
data_ScCuSnAu
_symmetry_space_group_name_H-M 'F -4 3 m'
_symmetry_Int_Tables_number 216
_symmetry_space_group_name_Hall 'F -4 2 3'
_cell_length_a 6.672
_cell_length_b 6.672
_cell_length_c 6.672
_cell_angle_alpha 90.00
_cell_angle_beta 90.00
_cell_angle_gamma 90.00
loop_
_atom_site_label
_atom_site_fract_x
_atom_site_fract_y
_atom_site_fract_z
_atom_site_occupancy
Sc1 0.000 0.000 0.000 1
Cu1 0.000 0.000 0.500 1
Sn1 0.250 0.250 0.250 1
Au1 0.250 0.250 0.750 1

16.
# ScCuSnAu | OQMD | PBE | optimized geometry
# Total moment (Bohr magnetons per cell): 0.00
# Relative energy among the computed polymorphs (meV/atom): 0
data_ScCuSnAu
_symmetry_space_group_name_H-M 'F -4 3 m'
_symmetry_Int_Tables_number 216
_symmetry_space_group_name_Hall 'F -4 2 3'
_cell_length_a 6.659
_cell_length_b 6.659
_cell_length_c 6.659
_cell_angle_alpha 90.00
_cell_angle_beta 90.00
_cell_angle_gamma 90.00
loop_
_atom_site_label
_atom_site_fract_x
_atom_site_fract_y
_atom_site_fract_z
_atom_site_occupancy
Sc1 0.000 0.000 0.000 1
Cu1 0.250 0.250 0.750 1
Sn1 0.000 0.000 0.500 1
Au1 0.250 0.250 0.250 1

17.
# Sc2CuSn2Au | OQMD | PBE | optimized geometry
# Total moment (Bohr magnetons per cell): 0.01
# VASP energy (eV per formula unit): -31.5
data_Sc2CuSn2Au
_symmetry_space_group_name_H-M 'P 1 m 1'
_symmetry_Int_Tables_number 6
_symmetry_space_group_name_Hall 'P -2y'
_cell_length_a 7.822
_cell_length_b 4.503
_cell_length_c 14.950
_cell_angle_alpha 90.00
_cell_angle_beta 99.81
_cell_angle_gamma 90.00
loop_
_atom_site_label
_atom_site_fract_x
_atom_site_fract_y
_atom_site_fract_z
_atom_site_occupancy
Sc1 0.000 0.000 0.000 1
Sc2 0.002 0.500 0.493 1
Sc3 0.243 0.000 0.742 1
Sc4 0.246 0.500 0.244 1
Sc5 0.491 0.000 0.490 1
Sc6 0.499 0.500 0.000 1
Sc7 0.746 0.000 0.242 1
Sc8 0.752 0.500 0.742 1
Cu1 0.060 0.500 0.680 1
Cu2 0.061 0.000 0.184 1
Cu3 0.308 0.500 0.430 1
Cu4 0.559 0.500 0.183 1
Sn1 0.121 0.500 0.863 1
Sn2 0.130 0.000 0.366 1
Sn3 0.361 0.500 0.613 1
Sn4 0.374 0.000 0.126 1
Sn5 0.610 0.500 0.365 1
Sn6 0.622 0.000 0.869 1
Sn7 0.875 0.500 0.127 1
Sn8 0.883 0.000 0.621 1
Au1 0.309 0.000 0.933 1
Au2 0.559 0.000 0.679 1
Au3 0.810 0.000 0.430 1
Au4 0.812 0.500 0.934 1

18.
# Tm2ScZn3CuAu2 | OQMD | PBE | optimized geometry
# Total moment (Bohr magnetons per cell): 0.02
# Energy relative to the elements (eV per formula unit): -5.1
data_Tm2ScZn3CuAu2
_symmetry_space_group_name_H-M 'A m m 2'
_symmetry_Int_Tables_number 38
_symmetry_space_group_name_Hall 'A 2 -2'
_cell_length_a 3.856
_cell_length_b 12.355
_cell_length_c 7.198
_cell_angle_alpha 90.00
_cell_angle_beta 90.00
_cell_angle_gamma 90.00
loop_
_atom_site_label
_atom_site_fract_x
_atom_site_fract_y
_atom_site_fract_z
_atom_site_occupancy
Tm1 0.000 0.202 0.000 1
Sc1 0.000 0.000 0.605 1
Zn1 0.500 0.000 0.964 1
Zn2 0.500 0.117 0.323 1
Cu1 0.000 0.000 0.207 1
Au1 0.500 0.162 0.700 1

19.
# Sc3Zn3CuAu2 | OQMD | PBE | optimized geometry
# Total moment (Bohr magnetons per cell): 0.02
# Energy relative to the elements (eV per formula unit): -4.9
data_Sc3Zn3CuAu2
_symmetry_space_group_name_H-M 'P -6 2 m'
_symmetry_Int_Tables_number 189
_symmetry_space_group_name_Hall 'P -6 -2'
_cell_length_a 7.1763
_cell_length_b 7.1763
_cell_length_c 3.5925
_cell_angle_alpha 90.00
_cell_angle_beta 90.00
_cell_angle_gamma 120.00
loop_
_atom_site_label
_atom_site_fract_x
_atom_site_fract_y
_atom_site_fract_z
_atom_site_occupancy
Sc1 0.0000 0.6005 0.0000 1
Zn1 0.0000 0.2465 0.5000 1
Cu1 0.0000 0.0000 0.0000 1
Au1 0.3333 0.6667 0.5000 1

20.
# CuSnAuSe3 | OQMD | PBE | optimized geometry
# VASP energy (eV per formula unit): -21.8
data_CuSnAuSe3
_symmetry_space_group_name_H-M 'C m c m'
_symmetry_Int_Tables_number 63
_symmetry_space_group_name_Hall '-C 2c 2'
_cell_length_a 3.861
_cell_length_b 14.458
_cell_length_c 9.215
_cell_angle_alpha 90.00
_cell_angle_beta 90.00
_cell_angle_gamma 90.00
loop_
_atom_site_label
_atom_site_fract_x
_atom_site_fract_y
_atom_site_fract_z
_atom_site_occupancy
Cu1 0.000 0.030 0.250 1
Sn1 0.000 0.257 0.750 1
Au1 0.000 0.500 0.000 1
Se1 0.000 0.152 0.064 1
Se2 0.000 0.419 0.250 1